# Rb2TcPbF6

A geometry-optimized Rb2TcPbF6 structure (PBE-GGA, the Alexandria database).

Values from the calculation:
energy relative to the elements, uncorrected	-2098	meV/atom
calculated volume	190.74	Å³/cell

a b c (Å): 6.461 6.461 6.461
angles (deg): 60.00 60.00 90.00
Sites, in units of the cell vectors:
1 Pb 0.000 0.000 0.000
2 Tc 0.500 0.500 0.000
3 Rb 0.750 0.250 0.500
4 Rb 0.250 0.750 0.500
5 F 0.265 0.265 0.469
6 F 0.735 0.735 0.531
7 F 0.265 0.265 0.000
8 F 0.735 0.735 0.000
9 F 0.735 0.265 0.000
10 F 0.265 0.735 0.000

***

# LaNd6Ho2

A geometry-optimized LaNd6Ho2 structure (PBE-GGA, the Alexandria database).

Values from the calculation:
excess energy over the best structure of this formula in the dataset	149	kJ/mol of formula units
formation enthalpy at 0 K	0.190	eV per atom
calculated volume	311.52	Å³/cell

a b c (Å): 6.242 7.591 7.591
angles (deg): 60.00 90.01 90.01
Sites, in units of the cell vectors:
1 La 0.000 0.000 0.000
2 Nd 0.290 0.374 0.813
3 Nd 0.290 0.813 0.813
4 Nd 0.290 0.813 0.374
5 Nd 0.710 0.626 0.187
6 Nd 0.710 0.187 0.187
7 Nd 0.710 0.187 0.626
8 Ho 0.781 0.667 0.667
9 Ho 0.219 0.333 0.333

***

# Pa2SiRu6C

A geometry-optimized Pa2SiRu6C structure (PBE-GGA, the Alexandria database).

Values from the calculation:
energy relative to the elements, uncorrected	-244	meV/atom
calculated volume	160.54	Å³/cell

a b c (Å): 4.337 4.337 8.536
angles (deg): 90.00 90.00 90.00
Sites, in units of the cell vectors:
1 Pa 0.000 0.000 0.747
2 Pa 0.000 0.000 0.253
3 Si 0.500 0.500 0.000
4 Ru 0.500 0.000 0.000
5 Ru 0.500 0.000 0.500
6 Ru 0.000 0.500 0.000
7 Ru 0.000 0.500 0.500
8 Ru 0.500 0.500 0.729
9 Ru 0.500 0.500 0.271
10 C 0.500 0.500 0.500

***

# NdSm2Cd2In2

A geometry-optimized NdSm2Cd2In2 structure (PBE-GGA, the Alexandria database).

Values from the calculation:
formation enthalpy at 0 K	-0.291	eV per atom
calculated volume	197.68	Å³/cell

a b c (Å): 4.988 4.988 9.615
angles (deg): 74.96 74.96 60.00
Sites, in units of the cell vectors:
1 Nd 0.000 0.000 0.000
2 Sm 0.129 0.129 0.614
3 Sm 0.871 0.871 0.386
4 Cd 0.598 0.598 0.205
5 Cd 0.402 0.402 0.795
6 In 0.739 0.739 0.782
7 In 0.261 0.261 0.218

***

# CaBeZnHS

A geometry-optimized CaBeZnHS structure (PBE-GGA, the Alexandria database).

Values from the calculation:
excess energy over the best structure of this formula in the dataset	53	kJ/mol of formula units
calculated volume	184.38	Å³/cell

a b c (Å): 5.848 3.529 10.216
angles (deg): 90.00 119.02 90.00
Sites, in units of the cell vectors:
1 Ca 0.386 0.000 0.786
2 Ca 0.386 0.500 0.286
3 Be 0.156 0.000 0.007
4 Be 0.156 0.500 0.507
5 Zn 0.841 0.000 0.344
6 Zn 0.841 0.500 0.844
7 H 0.144 0.000 0.144
8 H 0.144 0.500 0.644
9 S 0.354 0.000 0.499
10 S 0.354 0.500 0.999

***

# Sc4GaBiO

A geometry-optimized Sc4GaBiO structure (PBE-GGA, the Alexandria database).

Values from the calculation:
energy relative to the elements, uncorrected	-1210	meV/atom
calculated volume	282.32	Å³/cell

a b c (Å): 6.001 6.006 8.387
angles (deg): 90.00 110.96 90.00
Sites, in units of the cell vectors:
1 Sc 0.934 0.250 0.867
2 Sc 0.411 0.750 0.823
3 Sc 0.066 0.750 0.133
4 Sc 0.589 0.250 0.177
5 Sc 0.500 0.500 0.500
6 Sc 0.000 0.000 0.500
7 Sc 0.500 0.000 0.500
8 Sc 0.000 0.500 0.500
9 Ga 0.115 0.250 0.231
10 Ga 0.885 0.750 0.769
11 Bi 0.604 0.750 0.209
12 Bi 0.396 0.250 0.791
13 O 0.261 0.750 0.522
14 O 0.739 0.250 0.478

***

# RbTlB2H8

A geometry-optimized RbTlB2H8 structure (PBE-GGA, the Alexandria database).

Values from the calculation:
total DFT energy (no corrections)	-3.8777	eV/atom
calculated volume	163.34	Å³/cell

a b c (Å): 4.908 4.908 8.328
angles (deg): 72.86 72.86 60.00
Sites, in units of the cell vectors:
1 Rb 0.500 0.500 0.500
2 Tl 0.000 0.000 0.000
3 B 0.251 0.251 0.248
4 B 0.749 0.749 0.752
5 H 0.198 0.198 0.406
6 H 0.406 0.404 0.196
7 H 0.802 0.802 0.594
8 H 0.995 0.406 0.196
9 H 0.005 0.594 0.804
10 H 0.404 0.995 0.196
11 H 0.596 0.005 0.804
12 H 0.594 0.596 0.804

***

# CeDy3Er2S6

A geometry-optimized CeDy3Er2S6 structure (PBE-GGA, the Alexandria database).

Values from the calculation:
energy relative to the elements, uncorrected	-1991	meV/atom
calculated volume	254.02	Å³/cell

a b c (Å): 3.899 7.854 8.739
angles (deg): 102.83 102.89 90.00
Sites, in units of the cell vectors:
1 Ce 0.500 0.000 0.000
2 Dy 0.500 0.500 0.000
3 Dy 0.836 0.165 0.672
4 Dy 0.164 0.835 0.328
5 Er 0.835 0.671 0.670
6 Er 0.165 0.329 0.330
7 S 0.329 0.912 0.658
8 S 0.669 0.581 0.337
9 S 0.671 0.088 0.342
10 S 0.001 0.259 0.003
11 S 0.999 0.741 0.997
12 S 0.331 0.419 0.663

***

# LaYAgHg

A geometry-optimized LaYAgHg structure (PBE-GGA, the Alexandria database).

Values from the calculation:
excess energy over the best structure of this formula in the dataset	3	kJ/mol of formula units
formation enthalpy at 0 K	-0.387	eV per atom
calculated volume	108.38	Å³/cell

a b c (Å): 5.352 5.352 5.352
angles (deg): 60.00 60.00 60.00
Sites, in units of the cell vectors:
1 Y 0.750 0.750 0.750
2 Hg 0.500 0.500 0.500
3 Ag 0.000 0.000 0.000
4 La 0.250 0.250 0.250

***

# LiPd5Au2

A geometry-optimized LiPd5Au2 structure (PBE-GGA, the Alexandria database).

Values from the calculation:
excess energy over the best structure of this formula in the dataset	0	kJ/mol of formula units
formation enthalpy at 0 K	-0.218	eV per atom
calculated volume	125.66	Å³/cell

a b c (Å): 5.625 5.625 5.641
angles (deg): 120.45 120.45 88.93
Sites, in units of the cell vectors:
1 Li 0.778 0.778 0.000
2 Pd 0.278 0.278 0.500
3 Pd 0.278 0.778 0.000
4 Pd 0.778 0.278 0.000
5 Pd 0.778 0.778 0.500
6 Pd 0.278 0.278 0.000
7 Au 0.278 0.778 0.500
8 Au 0.778 0.278 0.500

***

# In12Ag3O5

A geometry-optimized In12Ag3O5 structure (PBE-GGA, the Alexandria database).

Values from the calculation:
energy relative to the elements, uncorrected	-378	meV/atom
calculated volume	1716.61	Å³/cell

a b c (Å): 13.065 13.065 13.065
angles (deg): 109.47 109.47 109.47
Sites, in units of the cell vectors:
1 Ag 0.750 0.375 0.125
2 Ag 0.875 0.750 0.125
3 Ag 0.375 0.750 0.625
4 Ag 0.250 0.125 0.375
5 Ag 0.875 0.125 0.250
6 Ag 0.375 0.625 0.250
7 Ag 0.625 0.375 0.750
8 Ag 0.125 0.875 0.750
9 Ag 0.750 0.875 0.625
10 Ag 0.625 0.250 0.375
11 Ag 0.125 0.250 0.875
12 Ag 0.250 0.625 0.875
13 O 0.125 0.375 0.250
14 O 0.000 0.500 0.000
15 O 0.000 0.000 0.000
16 O 0.375 0.250 0.125
17 O 0.500 0.000 0.500
18 O 0.500 0.500 0.000
19 O 0.125 0.750 0.375
20 O 0.750 0.125 0.875
21 O 0.750 0.625 0.375
22 O 0.375 0.125 0.750
23 O 0.625 0.875 0.250
24 O 0.500 0.500 0.500
25 O 0.500 0.000 0.000
26 O 0.000 0.000 0.500
27 O 0.250 0.375 0.625
28 O 0.250 0.875 0.125
29 O 0.000 0.500 0.500
30 O 0.875 0.250 0.625
31 O 0.625 0.750 0.875
32 O 0.875 0.625 0.750
33 In 0.715 0.121 0.033
34 In 0.318 0.533 0.412
35 In 0.967 0.379 0.285
36 In 0.533 0.215 0.121
37 In 0.594 0.715 0.682
38 In 0.967 0.588 0.182
39 In 0.318 0.785 0.406
40 In 0.088 0.906 0.121
41 In 0.588 0.967 0.682
42 In 0.715 0.594 0.182
43 In 0.785 0.467 0.379
44 In 0.818 0.912 0.033
45 In 0.121 0.715 0.533
46 In 0.379 0.412 0.094
47 In 0.094 0.912 0.379
48 In 0.406 0.121 0.588
49 In 0.094 0.182 0.215
50 In 0.467 0.682 0.088
51 In 0.818 0.906 0.285
52 In 0.121 0.406 0.088
53 In 0.379 0.967 0.785
54 In 0.588 0.621 0.406
55 In 0.912 0.818 0.533
56 In 0.785 0.318 0.906
57 In 0.412 0.379 0.594
58 In 0.088 0.182 0.467
59 In 0.215 0.682 0.094
60 In 0.182 0.094 0.715
61 In 0.621 0.033 0.215
62 In 0.879 0.594 0.912
63 In 0.533 0.318 0.912
64 In 0.594 0.879 0.412
65 In 0.906 0.818 0.785
66 In 0.906 0.088 0.621
67 In 0.879 0.285 0.467
68 In 0.182 0.088 0.967
69 In 0.621 0.588 0.906
70 In 0.412 0.033 0.318
71 In 0.285 0.406 0.818
72 In 0.215 0.533 0.621
73 In 0.912 0.094 0.879
74 In 0.682 0.215 0.594
75 In 0.467 0.785 0.879
76 In 0.033 0.412 0.818
77 In 0.406 0.285 0.318
78 In 0.033 0.621 0.715
79 In 0.682 0.467 0.588
80 In 0.285 0.879 0.967

***

# AlTl2Cu

A geometry-optimized AlTl2Cu structure (PBE-GGA, the Alexandria database).

Values from the calculation:
excess energy over the best structure of this formula in the dataset	22	kJ/mol of formula units
formation enthalpy at 0 K	0.181	eV per atom
calculated volume	97.99	Å³/cell

a b c (Å): 4.560 4.560 6.956
angles (deg): 72.42 72.42 45.80
Sites, in units of the cell vectors:
1 Tl 0.946 0.946 0.055
2 Tl 0.767 0.767 0.695
3 Al 0.542 0.542 0.377
4 Cu 0.245 0.245 0.372